# 1
A relaxed structure of Na4AgS2. Source: Alexandria via LeMat-Bulk, functional PBE.

Lattice parameters (Å, degrees): 9.3030 9.3030 9.3030 29.21 29.21 29.21
Atoms (fractional coordinates):
Na 0.1085 0.1085 0.1085
Na 0.2952 0.2952 0.2952
Na 0.7048 0.7048 0.7048
Na 0.8915 0.8915 0.8915
Ag 0.5000 0.5000 0.5000
S 0.4035 0.4035 0.4035
S 0.5965 0.5965 0.5965

The calculation puts the calculated volume at 24.242 A^3/atom. The magnetization comes out at 0.61 μB per cell. The value obtained for the electronic total energy is -3.032 eV per atom.


# 2
A relaxed structure of NaAg2S2. Source: Alexandria via LeMat-Bulk, functional PBE.

Lattice parameters (Å, degrees): 6.7760 6.7760 6.7760 144.29 144.29 51.40
Atoms (fractional coordinates):
Na 0.0000 0.0000 0.0000
Ag 0.2500 0.7500 0.5000
Ag 0.7500 0.2500 0.5000
S 0.3815 0.3815 0.0000
S 0.6185 0.6185 0.0000

The calculation puts the calculated volume at 21.087 A^3/atom. The magnetization comes out at 0.00 μB per cell. The value obtained for the electronic total energy is -3.300 eV per atom.


# 3
A relaxed structure of NaAg12S6. Source: Alexandria via LeMat-Bulk, functional PBE.

Lattice parameters (Å, degrees): 7.4961 7.4961 7.4961 96.37 96.37 96.37
Atoms (fractional coordinates):
Na 0.0000 0.0000 0.0000
Ag 0.1443 0.4112 0.4112
Ag 0.1847 0.5000 0.8153
Ag 0.1847 0.8153 0.5000
Ag 0.4112 0.1443 0.4112
Ag 0.4112 0.4112 0.1443
Ag 0.5000 0.1847 0.8153
Ag 0.5000 0.8153 0.1847
Ag 0.5888 0.5888 0.8557
Ag 0.5888 0.8557 0.5888
Ag 0.8153 0.1847 0.5000
Ag 0.8153 0.5000 0.1847
Ag 0.8557 0.5888 0.5888
S 0.1806 0.1806 0.6203
S 0.1806 0.6203 0.1806
S 0.3797 0.8194 0.8194
S 0.6203 0.1806 0.1806
S 0.8194 0.3797 0.8194
S 0.8194 0.8194 0.3797

The calculation puts the calculated volume at 21.725 A^3/atom. The magnetization comes out at 0.00 μB per cell. The value obtained for the electronic total energy is -3.226 eV per atom.


Calculated formation energy (no corrections), -692 -244 -52 meV/atom (same order as the records).